# NaCuNiF6

An optimized crystal structure of NaCuNiF6 (PBE with a Hubbard U, the Alexandria database).

Geometry as POSCAR:
```
NaCuNiF6
1.0
5.206 0.000 0.000
-2.603 4.508 0.000
0.000 0.000 9.815
Na Cu Ni F
2 2 2 12
Cartesian
0.000 0.000 0.000
0.000 0.000 4.907
0.000 3.005 2.454
2.603 1.503 7.361
0.000 3.005 7.361
2.603 1.503 2.454
-0.888 1.659 1.387
-1.610 2.910 3.520
0.888 1.659 3.520
-0.722 4.448 1.387
1.880 0.060 6.295
0.992 1.598 8.427
1.610 2.910 1.387
0.722 4.448 3.520
3.325 0.060 8.427
1.715 2.849 6.295
4.213 1.598 6.295
3.491 2.849 8.427
```

**Uncorrected energy**: -74.2 eV for the cell shown
**Volume**: 230.3 Å³ per cell
**Total moment**: 7.98 Bohr magnetons per cell